Record 1
The following is a PBE calculation of a relaxed structure of NaNi2Te, from Alexandria.

Unit cell a=4.7465 b=4.7465 c=9.0326 alpha=74.77 beta=74.77 gamma=90.00
Positions (direct):
Ni (0.8334, 0.1250, 0.2500)
Ni (0.3750, 0.1666, 0.7500)
Ni (0.8750, 0.0834, 0.7500)
Ni (0.9166, 0.6250, 0.2500)
Na (0.2500, 0.7500, 0.5000)
Na (0.5000, 0.5000, 0.0000)
Te (0.7500, 0.2500, 0.5000)
Te (0.0000, 0.0000, 0.0000)


Record 2
The following is a PBE calculation of a relaxed structure of Pm2GePb, from Alexandria.

Values from the calculation:
The calculated formation energy is -2.34 eV per formula unit.

Unit cell a=3.4769 b=3.4769 c=8.8908 alpha=90.00 beta=90.00 gamma=90.00
Positions (direct):
Pb (0.5000, 0.5000, 0.5000)
Pm (0.0000, 0.0000, 0.2221)
Pm (0.0000, 0.0000, 0.7779)
Ge (0.5000, 0.5000, 0.0000)


Record 3
The following is a PBE calculation of a relaxed structure of Sr2PdF6, from Alexandria.

Values from the calculation:
The value obtained for the excess energy over the best structure of this formula in the dataset is 0.1274 eV/atom.

Unit cell a=4.3439 b=4.3439 c=9.4644 alpha=103.27 beta=103.27 gamma=90.00
Positions (direct):
F (0.2500, 0.7500, 0.5000)
F (0.8057, 0.3757, 0.1814)
F (0.6243, 0.6243, 0.8186)
F (0.7500, 0.2500, 0.5000)
F (0.1943, 0.1943, 0.8186)
F (0.3757, 0.8057, 0.1814)
Sr (0.1761, 0.1761, 0.3523)
Sr (0.8239, 0.8239, 0.6477)
Pd (0.5000, 0.5000, 0.0000)


Record 4
The following is a PBE calculation of a relaxed structure of Ba3PdAu, from Alexandria.

Values from the calculation:
The calculated formation energy is -2.43 eV per formula unit. The value obtained for the excess energy over the best structure of this formula in the dataset is 0.0000 eV/atom.

Unit cell a=5.0996 b=10.0056 c=9.2439 alpha=64.85 beta=73.99 gamma=75.24
Positions (direct):
Pd (0.8415, 0.2730, 0.0440)
Pd (0.1585, 0.7270, 0.9560)
Ba (0.6293, 0.5449, 0.1965)
Ba (0.9534, 0.8722, 0.2209)
Ba (0.7321, 0.8311, 0.7047)
Ba (0.3707, 0.4551, 0.8035)
Ba (0.2679, 0.1689, 0.2953)
Ba (0.0466, 0.1278, 0.7791)
Au (0.3728, 0.7857, 0.4687)
Au (0.6272, 0.2143, 0.5313)


Record 5
The following is a PBE calculation of a relaxed structure of AcPrTlPb, from Alexandria.

Values from the calculation:
The calculated formation energy is -1.64 eV per formula unit. The value obtained for the excess energy over the best structure of this formula in the dataset is 0.0439 eV/atom.

Unit cell a=5.7298 b=5.7298 c=5.7298 alpha=60.00 beta=60.00 gamma=60.00
Positions (direct):
Ac (0.7500, 0.7500, 0.7500)
Tl (0.5000, 0.5000, 0.5000)
Pr (0.2500, 0.2500, 0.2500)
Pb (0.0000, 0.0000, 0.0000)


Record 6
The following is a PBE calculation of a relaxed structure of Li4Ca3Pd2, from Alexandria.

Values from the calculation:
The calculated formation energy is -2.87 eV per formula unit.

Unit cell a=4.2499 b=6.7125 c=8.8143 alpha=64.04 beta=76.05 gamma=71.54
Positions (direct):
Li (0.1257, 0.4455, 0.3031)
Li (0.3110, 0.3645, 0.0136)
Li (0.8743, 0.5545, 0.6969)
Li (0.6890, 0.6355, 0.9864)
Ca (0.0000, 0.0000, 0.0000)
Ca (0.3754, 0.8622, 0.3869)
Ca (0.6246, 0.1378, 0.6131)
Pd (0.2316, 0.7771, 0.7598)
Pd (0.7684, 0.2229, 0.2402)


| no. | DFT total energy (eV/cell) |
| --- | --- |
| 1 | -31.53 |
| 2 | -20.17 |
| 3 | -44.99 |
| 4 | -33.35 |
| 5 | -16.61 |
| 6 | -26.92 |